CrAuO2 | GGA+U | optimized geometry

Values from the calculation:
- symmetry = R-3m (166)
- E above lowest polymorph (meV/atom) = 5
- crystal system = trigonal

Unit cell a=6.406 b=6.406 c=6.406 alpha=27.45 beta=27.45 gamma=27.45
Atoms (fractional coordinates):
O: 0.113 0.113 0.113
Cr: 0.500 0.500 0.500
Au: 0.000 0.000 0.000
O: 0.887 0.887 0.887